1.
Density functional theory data (PBE) for crystalline AcTb5SmHo2 at its relaxed geometry.

abc: 9.889 9.889 9.889
angles: 125.71 125.71 80.36
Fractional positions:
Ac 0.250 0.250 0.000
Ac 0.750 0.750 0.000
Tb 0.000 0.000 0.000
Tb 0.075 0.575 0.900
Tb 0.175 0.075 0.500
Tb 0.325 0.825 0.900
Tb 0.425 0.325 0.500
Tb 0.500 0.500 0.000
Tb 0.575 0.675 0.500
Tb 0.675 0.175 0.100
Tb 0.825 0.925 0.500
Tb 0.925 0.425 0.100
Sm 0.250 0.750 0.500
Sm 0.750 0.250 0.500
Ho 0.113 0.387 0.500
Ho 0.387 0.887 0.274
Ho 0.613 0.113 0.726
Ho 0.887 0.613 0.500

***

2.
Density functional theory data (PBE) for crystalline AcTbSmHo2 at its relaxed geometry.

abc: 9.329 9.329 6.466
angles: 90.00 90.00 139.40
Fractional positions:
Ac 0.160 0.840 0.750
Ac 0.840 0.160 0.250
Tb 0.251 0.749 0.250
Tb 0.749 0.251 0.750
Sm 0.348 0.652 0.750
Sm 0.652 0.348 0.250
Ho 0.252 0.252 0.000
Ho 0.252 0.252 0.500
Ho 0.748 0.748 0.000
Ho 0.748 0.748 0.500

***

The records above give, respectively, raw total energy values of -4.294 -4.139 eV/atom.
The records above give, respectively, DFT formation energy values of 276 384 meV/atom.